# SrTcAu2

Crystalline SrTcAu2 at its relaxed geometry (GGA-PBEsol, Alexandria).

ΔE_f ... 0.470 eV/atom
Space group ... F-43m
Energy relative to the lowest polymorph listed for this composition ... 286 meV per atom
Density of states at the Fermi level ... 0.36 states/eV per atom

abc: 4.8111 4.8111 4.8111
angles: 60.00 60.00 60.00
Sites, in units of the cell vectors:
Sr (0.5000, 0.5000, 0.5000)
Au (0.7500, 0.7500, 0.7500)
Au (0.0000, 0.0000, 0.0000)
Tc (0.2500, 0.2500, 0.2500)